Record 1
# LaPrNd2Sm5 (PBE-GGA, optimized geometry)
# Energy of formation, eV per atom: 0.239
# Crystal system: tetragonal
data_LaPrNd2Sm5
_symmetry_space_group_name_H-M 'I 4/m c m'
_symmetry_Int_Tables_number 140
_symmetry_space_group_name_Hall '-I 4 2c'
_cell_length_a 8.8854
_cell_length_b 8.8854
_cell_length_c 15.9753
_cell_angle_alpha 90.00
_cell_angle_beta 90.00
_cell_angle_gamma 90.00
loop_
_atom_site_label
_atom_site_type_symbol
_atom_site_fract_x
_atom_site_fract_y
_atom_site_fract_z
La1 La 0.0000 0.0000 0.2500
Pr1 Pr 0.0000 0.5000 0.2500
Nd1 Nd 0.1187 0.3813 0.0000
Sm1 Sm 0.0000 0.0000 0.0000
Sm2 Sm 0.2059 0.2941 0.3637

***

Record 2
# TmScCdGa (PBE-GGA, optimized geometry)
# Energy relative to the lowest polymorph listed for this composition, meV per atom: 25
# Energy of formation, eV per atom: -0.423
# Crystal system: cubic
data_TmScCdGa
_symmetry_space_group_name_H-M 'F -4 3 m'
_symmetry_Int_Tables_number 216
_symmetry_space_group_name_Hall 'F -4 2 3'
_cell_length_a 7.0577
_cell_length_b 7.0577
_cell_length_c 7.0577
_cell_angle_alpha 90.00
_cell_angle_beta 90.00
_cell_angle_gamma 90.00
loop_
_atom_site_label
_atom_site_type_symbol
_atom_site_fract_x
_atom_site_fract_y
_atom_site_fract_z
Tm1 Tm 0.0000 0.0000 0.0000
Sc1 Sc 0.0000 0.0000 0.5000
Cd1 Cd 0.2500 0.2500 0.2500
Ga1 Ga 0.2500 0.2500 0.7500

***

Record 3
# Co2Mo (PBE-GGA, optimized geometry)
# Energy of formation, eV per atom: 0.096
# Crystal system: hexagonal
data_Co2Mo
_symmetry_space_group_name_H-M 'P 63/m m c'
_symmetry_Int_Tables_number 194
_symmetry_space_group_name_Hall '-P 6c 2c'
_cell_length_a 4.1526
_cell_length_b 4.1526
_cell_length_c 4.9719
_cell_angle_alpha 90.00
_cell_angle_beta 90.00
_cell_angle_gamma 120.00
loop_
_atom_site_label
_atom_site_type_symbol
_atom_site_fract_x
_atom_site_fract_y
_atom_site_fract_z
Co1 Co 0.0000 0.0000 0.0000
Co2 Co 0.3333 0.6667 0.2500
Mo1 Mo 0.3333 0.6667 0.7500

***

Record 4
# Ni11Pd4Pt9 (PBE-GGA, optimized geometry)
# Energy of formation, eV per atom: -0.017
# Crystal system: orthorhombic
data_Ni11Pd4Pt9
_symmetry_space_group_name_H-M 'C m m m'
_symmetry_Int_Tables_number 65
_symmetry_space_group_name_Hall '-C 2 2'
_cell_length_a 15.0365
_cell_length_b 16.2781
_cell_length_c 2.6914
_cell_angle_alpha 90.00
_cell_angle_beta 90.00
_cell_angle_gamma 90.00
loop_
_atom_site_label
_atom_site_type_symbol
_atom_site_fract_x
_atom_site_fract_y
_atom_site_fract_z
Ni1 Ni 0.0000 0.0000 0.0000
Ni2 Ni 0.0000 0.1728 0.0000
Ni3 Ni 0.0000 0.3508 0.0000
Ni4 Ni 0.2339 0.0000 0.0000
Ni5 Ni 0.2403 0.1734 0.0000
Pd1 Pd 0.1482 0.4162 0.5000
Pt1 Pt 0.0000 0.5000 0.5000
Pt2 Pt 0.1191 0.0865 0.5000
Pt3 Pt 0.1195 0.2561 0.5000

***

Record 5
# ScHgO2 (PBE-GGA, optimized geometry)
# Formation energy (no corrections), meV/atom: -1968
# Crystal system: tetragonal
data_ScHgO2
_symmetry_space_group_name_H-M 'I -4 2 d'
_symmetry_Int_Tables_number 122
_symmetry_space_group_name_Hall 'I -4 2bw'
_cell_length_a 5.3988
_cell_length_b 5.3988
_cell_length_c 9.6551
_cell_angle_alpha 90.00
_cell_angle_beta 90.00
_cell_angle_gamma 90.00
loop_
_atom_site_label
_atom_site_type_symbol
_atom_site_fract_x
_atom_site_fract_y
_atom_site_fract_z
Sc1 Sc 0.0000 0.0000 0.0000
Hg1 Hg 0.0000 0.0000 0.5000
O1 O 0.1582 0.2500 0.1250

***

Record 6
# ZrZn3Os (PBE-GGA, optimized geometry)
# Energy relative to the lowest polymorph listed for this composition, meV per atom: 0
# Energy of formation, eV per atom: 0.616
# Crystal system: cubic
data_ZrZn3Os
_symmetry_space_group_name_H-M 'P m -3 m'
_symmetry_Int_Tables_number 221
_symmetry_space_group_name_Hall '-P 4 2 3'
_cell_length_a 4.6802
_cell_length_b 4.6802
_cell_length_c 4.6802
_cell_angle_alpha 90.00
_cell_angle_beta 90.00
_cell_angle_gamma 90.00
loop_
_atom_site_label
_atom_site_type_symbol
_atom_site_fract_x
_atom_site_fract_y
_atom_site_fract_z
Zr1 Zr 0.0000 0.0000 0.0000
Zn1 Zn 0.0000 0.5000 0.5000
Os1 Os 0.5000 0.5000 0.5000

***

Record 7
# Ni5Rh (PBE-GGA, optimized geometry)
# Energy of formation, eV per atom: 0.047
# Crystal system: orthorhombic
data_Ni5Rh
_symmetry_space_group_name_H-M 'A m m 2'
_symmetry_Int_Tables_number 38
_cell_length_a 4.1280
_cell_length_b 2.5783
_cell_length_c 13.1111
_cell_angle_alpha 90.00
_cell_angle_beta 90.00
_cell_angle_gamma 90.00
loop_
_symmetry_equiv_pos_as_xyz
'x,y,z'
'-x,-y,z'
'-x,y,z'
'x,-y,z'
'x,y+1/2,z+1/2'
'-x,-y+1/2,z+1/2'
'-x,y+1/2,z+1/2'
'x,-y+1/2,z+1/2'
loop_
_atom_site_label
_atom_site_type_symbol
_atom_site_fract_x
_atom_site_fract_y
_atom_site_fract_z
Ni1 Ni 0.0000 0.0000 0.0000
Ni2 Ni 0.0000 0.0000 0.3255
Ni3 Ni 0.0000 0.0000 0.6629
Ni4 Ni 0.5000 0.0000 0.1107
Ni5 Ni 0.5000 0.0000 0.7711
Rh1 Rh 0.5000 0.0000 0.4406

***

Record 8
# Ta3Os3Ru (PBE-GGA, optimized geometry)
# Energy of formation, eV per atom: -0.067
# Crystal system: orthorhombic
data_Ta3Os3Ru
_symmetry_space_group_name_H-M 'C m m m'
_symmetry_Int_Tables_number 65
_symmetry_space_group_name_Hall '-C 2 2'
_cell_length_a 8.7040
_cell_length_b 8.7344
_cell_length_c 6.2988
_cell_angle_alpha 90.00
_cell_angle_beta 90.00
_cell_angle_gamma 90.00
loop_
_atom_site_label
_atom_site_type_symbol
_atom_site_fract_x
_atom_site_fract_y
_atom_site_fract_z
Ta1 Ta 0.0000 0.0000 0.2495
Ta2 Ta 0.2500 0.2500 0.2505
Os1 Os 0.0000 0.2557 0.0000
Os2 Os 0.2424 0.5000 0.0000
Os3 Os 0.2458 0.5000 0.5000
Ru1 Ru 0.0000 0.2565 0.5000

***

Record 9
# HfTiPCl2 (PBE-GGA, optimized geometry)
# Formation energy (no corrections), meV/atom: -165
# Energy relative to the lowest polymorph listed for this composition, meV per atom: 0
# Crystal system: tetragonal
data_HfTiPCl2
_symmetry_space_group_name_H-M 'P 4/m m m'
_symmetry_Int_Tables_number 123
_symmetry_space_group_name_Hall '-P 4 2'
_cell_length_a 4.4990
_cell_length_b 4.4990
_cell_length_c 5.2390
_cell_angle_alpha 90.00
_cell_angle_beta 90.00
_cell_angle_gamma 90.00
loop_
_atom_site_label
_atom_site_type_symbol
_atom_site_fract_x
_atom_site_fract_y
_atom_site_fract_z
Hf1 Hf 0.0000 0.0000 0.0000
Ti1 Ti 0.5000 0.5000 0.5000
P1 P 0.5000 0.5000 0.0000
Cl1 Cl 0.0000 0.5000 0.5000

***

Record 10
# Mg2CrP (PBE-GGA, optimized geometry)
# Energy of formation, eV per atom: 0.283
# Crystal system: cubic
data_Mg2CrP
_symmetry_space_group_name_H-M 'F m -3 m'
_symmetry_Int_Tables_number 225
_symmetry_space_group_name_Hall '-F 4 2 3'
_cell_length_a 6.6370
_cell_length_b 6.6370
_cell_length_c 6.6370
_cell_angle_alpha 90.00
_cell_angle_beta 90.00
_cell_angle_gamma 90.00
loop_
_atom_site_label
_atom_site_type_symbol
_atom_site_fract_x
_atom_site_fract_y
_atom_site_fract_z
Mg1 Mg 0.2500 0.2500 0.2500
Cr1 Cr 0.0000 0.0000 0.0000
P1 P 0.0000 0.0000 0.5000

***

Record 11
# NdCd6Hg8 (PBE-GGA, optimized geometry)
# Energy relative to the lowest polymorph listed for this composition, meV per atom: 0
# Energy of formation, eV per atom: -0.041
# Crystal system: trigonal
data_NdCd6Hg8
_symmetry_space_group_name_H-M 'R -3'
_symmetry_Int_Tables_number 148
_symmetry_space_group_name_Hall '-R 3'
_cell_length_a 9.5876
_cell_length_b 9.5876
_cell_length_c 14.7104
_cell_angle_alpha 90.00
_cell_angle_beta 90.00
_cell_angle_gamma 120.00
loop_
_atom_site_label
_atom_site_type_symbol
_atom_site_fract_x
_atom_site_fract_y
_atom_site_fract_z
Nd1 Nd 0.0000 0.0000 0.0000
Cd1 Cd 0.0084 0.1939 0.4024
Hg1 Hg 0.0000 0.0000 0.2224
Hg2 Hg 0.0245 0.3016 0.8976

***

Record 12
# PmFeSi3Ir (PBE-GGA, optimized geometry)
# Formation energy (no corrections), meV/atom: -469
# Crystal system: orthorhombic
data_PmFeSi3Ir
_symmetry_space_group_name_H-M 'C m c m'
_symmetry_Int_Tables_number 63
_symmetry_space_group_name_Hall '-C 2c 2'
_cell_length_a 6.1557
_cell_length_b 12.2614
_cell_length_c 5.7610
_cell_angle_alpha 90.00
_cell_angle_beta 90.00
_cell_angle_gamma 90.00
loop_
_atom_site_label
_atom_site_type_symbol
_atom_site_fract_x
_atom_site_fract_y
_atom_site_fract_z
Pm1 Pm 0.0000 0.2135 0.2500
Fe1 Fe 0.0000 0.0298 0.7500
Si1 Si 0.0000 0.2013 0.7500
Si2 Si 0.2143 0.5000 0.0000
Ir1 Ir 0.0000 0.3847 0.7500

***

Total energy (computed, eV/cell): -162.74 -65.75 -49.51 -278.30 -97.69 -20.52 -71.95 -315.97 -27.78 -68.36 -39.85 -164.62
D(E_F) (computed, states/eV per atom): 1.33 0.99 0.76 1.68 0.18 0.84 1.83 0.43 0.87 0.55 0.44 0.64